Below is crystalline Cs3Fe5F12 at its relaxed geometry, with properties calculated at the PBE with a Hubbard U level.

The value obtained for the total energy is -99.7 eV/f.u. The value obtained for the density is 4.1 g/cm³.

The structure belongs to space group Ia-3d (No. 230); the cell edges are 14.328, 14.328 and 14.328 Å and the angles 90.00°, 90.00° and 90.00°. Symmetry generates all atoms from Cs at (0.000, 0.250, 0.125), Fe at (0.000, 0.000, 0.000), Fe at (0.000, 0.250, 0.375) and F at (0.039, 0.139, 0.956).